No. 1
DFT (GGA-PBE) results for a relaxed CsTl2Pt crystal.

```
4
Lattice="3.622 0.000 0.000 0.000 3.622 0.000 0.000 0.000 8.993" Properties=species:S:1:pos:R:3 pbc="T T T"
Cs 0.000 0.000 0.000
Tl 1.811 1.811 2.906
Tl 1.811 1.811 6.087
Pt 0.000 0.000 4.496
```

Calculated formation energy: -59 meV/atom
Symmetry: P4/mmm, No. 123
Total energy: -2.966 eV/atom

=====

No. 2
DFT (GGA-PBE) results for a relaxed Pm6SmY2Er3 crystal.

```
12
Lattice="3.125 -5.410 0.000 3.125 5.410 0.000 -2.074 0.000 11.667" Properties=species:S:1:pos:R:3 pbc="T T T"
Pm 0.007 1.802 8.780
Pm 1.040 0.000 2.888
Pm 0.007 -1.802 8.780
Pm 4.167 1.802 2.887
Pm 3.135 0.000 8.779
Pm 4.167 -1.802 2.887
Sm -1.037 0.000 5.834
Y 2.087 1.803 5.834
Y 2.087 -1.803 5.834
Er 3.125 3.605 0.000
Er 3.125 0.000 0.000
Er 3.125 -3.605 0.000
```

Calculated formation energy: 13 meV/atom
Symmetry: C2/m, No. 12
Total energy: -4.973 eV/atom

=====

No. 3
DFT (GGA-PBE) results for a relaxed K3Pt8Pb crystal.

```
12
Lattice="2.764 1.596 8.990 -2.764 1.596 8.990 0.000 -3.192 8.990" Properties=species:S:1:pos:R:3 pbc="T T T"
K 0.000 0.000 0.000
K 0.000 0.000 3.330
K 0.000 0.000 13.370
Pt -1.394 -0.805 10.566
Pt 0.000 -1.606 6.174
Pt -1.390 0.803 6.174
Pt 0.000 0.000 8.372
Pt 1.394 -0.805 10.566
Pt 0.000 1.610 10.566
Pt 1.390 0.803 6.174
Pt 0.000 0.000 21.852
Pb 0.000 0.000 16.759
```

Calculated formation energy: -210 meV/atom
Symmetry: R3m, No. 160
Total energy: -4.821 eV/atom

=====

No. 4
DFT (GGA-PBE) results for a relaxed CsTaSnSe2 crystal.

```
5
Lattice="5.622 0.000 0.000 0.000 5.622 0.000 0.000 0.000 5.359" Properties=species:S:1:pos:R:3 pbc="T T T"
Cs 0.000 0.000 0.000
Ta 2.811 2.811 0.000
Sn 2.811 2.811 2.679
Se 0.000 2.811 2.679
Se 2.811 0.000 2.679
```

ΔE_f (raw): 0.641 eV per atom
Symmetry: P4/mmm, No. 123
Total energy: -4.094 eV/atom

=====

No. 5
DFT (GGA-PBE) results for a relaxed YMoN3 crystal.

```
5
Lattice="4.180 0.000 0.000 0.000 3.615 0.000 -2.085 0.000 5.213" Properties=species:S:1:pos:R:3 pbc="T T T"
Y 0.000 0.000 0.000
Mo -0.213 1.807 3.307
N -0.110 1.807 1.519
N 0.027 0.000 4.195
N 2.151 1.807 3.674
```

ΔE_f (raw): -0.835 eV per atom
Symmetry: Pm, No. 6
Total energy: -9.290 eV/atom

=====

No. 6
DFT (GGA-PBE) results for a relaxed UCoOs crystal.

```
3
Lattice="4.427 0.000 0.000 -2.214 3.834 0.000 0.000 0.000 2.805" Properties=species:S:1:pos:R:3 pbc="T T T"
U 0.000 0.000 0.000
Co 2.214 1.278 2.156
Os 0.000 2.556 0.943
```

Energy above the most stable polymorph in this dataset: 34.3 kJ per mole of atoms
Calculated formation energy: 173 meV/atom
Symmetry: P3m1, No. 156
Total energy: -9.702 eV/atom

=====

No. 7
DFT (GGA-PBE) results for a relaxed LiTh2Pt4 crystal.

```
7
Lattice="-2.186 2.186 7.469 2.186 -2.186 7.469 2.186 2.186 -7.469" Properties=species:S:1:pos:R:3 pbc="T T T"
Li 0.000 0.000 0.000
Th 0.000 0.000 5.199
Th 0.000 0.000 9.738
Pt 2.186 0.000 0.000
Pt 0.000 0.000 2.330
Pt 0.000 2.186 0.000
Pt 0.000 0.000 12.608
```

Calculated formation energy: -861 meV/atom
Symmetry: I4/mmm, No. 139
Total energy: -6.706 eV/atom

=====

No. 8
DFT (GGA-PBE) results for a relaxed Ac5PuRu4 crystal.

```
10
Lattice="9.457 -2.169 0.000 9.457 2.169 0.000 -2.645 0.000 7.349" Properties=species:S:1:pos:R:3 pbc="T T T"
Ac 0.000 0.000 0.000
Ac 4.193 0.000 5.122
Ac 6.008 0.000 1.635
Ac 10.260 0.000 5.714
Ac 12.075 0.000 2.227
Pu -1.322 0.000 3.674
Ru 1.297 0.000 3.670
Ru 7.258 0.000 4.885
Ru 9.010 0.000 2.464
Ru 14.971 0.000 3.679
```

Calculated formation energy: -145 meV/atom
Symmetry: C2/m, No. 12
Total energy: -7.343 eV/atom